9
Lattice="3.762 0.000 0.597 1.654 6.285 1.728 0.027 -0.116 11.977" Properties=species:S:1:pos:R:3 comment="PBE-GGA Pm6SmHg2, relaxed" sg="C2/m, No. 12" e_form_mev_per_atom=-210 polymorph_energy_mev_per_atom=0.0 dos_at_fermi_per_ev_fu=9.06 pbc="T T T"
Pm 2.491 4.907 8.598
Pm 0.586 1.802 8.455
Pm 2.025 3.034 11.534
Sm 0.000 0.000 0.000
Pm 3.417 3.135 2.767
Pm 2.951 1.262 5.704
Pm 4.856 4.367 5.847
Hg 3.955 5.686 11.523
Hg 1.487 0.483 2.778

4
Lattice="-3.324 -0.349 -0.484 -1.988 -0.951 2.559 -3.338 10.524 3.545" Properties=species:S:1:pos:R:3 comment="PBE-GGA Y2ErV, relaxed" sg="R-3m, No. 166" e_form_mev_per_atom=617 dos_at_fermi_per_ev_fu=6.80 pbc="T T T"
Y -5.699 1.404 2.779
Y -2.951 7.819 2.841
V 0.000 0.000 0.000
Er -4.325 4.612 2.810

Repeat the first record exactly.
9
Lattice="3.762 0.000 0.597 1.654 6.285 1.728 0.027 -0.116 11.977" Properties=species:S:1:pos:R:3 comment="PBE-GGA Pm6SmHg2, relaxed" sg="C2/m, No. 12" e_form_mev_per_atom=-210 polymorph_energy_mev_per_atom=0.0 dos_at_fermi_per_ev_fu=9.06 pbc="T T T"
Pm 2.491 4.907 8.598
Pm 0.586 1.802 8.455
Pm 2.025 3.034 11.534
Sm 0.000 0.000 0.000
Pm 3.417 3.135 2.767
Pm 2.951 1.262 5.704
Pm 4.856 4.367 5.847
Hg 3.955 5.686 11.523
Hg 1.487 0.483 2.778